Mg14ZnW | Alexandria via LeMat-Bulk | PBE | optimized geometry; N(E_F) = 9.0 states/eV/cell; relative energy among the computed polymorphs = 4 meV/atom; E = -2.15 eV/atom; energy of formation from the pure elements = 0.14 eV/atom
1.0
10.081 0.000 0.000
0.000 3.099 5.388
0.000 -3.099 5.388
Mg Zn W
14 1 1
direct
0.000 0.000 0.000
0.000 0.004 0.501
0.000 0.500 0.500
0.000 0.501 0.004
0.251 0.667 0.667
0.259 0.162 0.162
0.267 0.167 0.675
0.267 0.675 0.167
0.500 0.498 0.999
0.500 0.999 0.498
0.733 0.167 0.675
0.733 0.675 0.167
0.741 0.162 0.162
0.749 0.667 0.667
0.500 0.503 0.503
0.500 0.002 0.002